Entry 1:
Here is SmInH6Ir2 after structural relaxation from Alexandria via LeMat-Bulk. Energies are from PBE-GGA.

Unit cell a=6.844 b=6.844 c=5.597 alpha=101.22 beta=101.22 gamma=113.36
Positions (direct):
Sm: 0.130 0.870 0.750
Sm: 0.870 0.130 0.250
In: 0.310 0.690 0.250
In: 0.690 0.310 0.750
H: 0.070 0.458 0.638
H: 0.197 0.211 0.089
H: 0.211 0.197 0.589
H: 0.367 0.503 0.927
H: 0.458 0.070 0.138
H: 0.497 0.633 0.573
H: 0.503 0.367 0.427
H: 0.542 0.930 0.862
H: 0.633 0.497 0.073
H: 0.789 0.803 0.411
H: 0.803 0.789 0.911
H: 0.930 0.542 0.362
Ir: 0.105 0.317 0.845
Ir: 0.317 0.105 0.345
Ir: 0.683 0.895 0.655
Ir: 0.895 0.683 0.155

## Properties
uncorrected energy: -47.87 eV/f.u.
crystal system: monoclinic
magnetization: 0.00 μB/f.u.
symmetry: C2/c, No. 15

---

Entry 2:
Here is SrInH6Ir2 after structural relaxation from Alexandria via LeMat-Bulk. Energies are from PBE-GGA.

Unit cell a=6.422 b=6.422 c=6.422 alpha=42.89 beta=42.89 gamma=42.89
Positions (direct):
Sr: 0.000 0.000 0.000
In: 0.500 0.500 0.500
H: 0.027 0.578 0.578
H: 0.422 0.422 0.973
H: 0.422 0.973 0.422
H: 0.578 0.027 0.578
H: 0.578 0.578 0.027
H: 0.973 0.422 0.422
Ir: 0.210 0.210 0.210
Ir: 0.790 0.790 0.790

## Properties
uncorrected energy: -45.09 eV/f.u.
crystal system: trigonal
magnetization: 0.00 μB/f.u.
symmetry: R-3m, No. 166

---

Entry 3:
Here is TbInH8Ir2 after structural relaxation from Alexandria via LeMat-Bulk. Energies are from PBE-GGA.

Unit cell a=4.889 b=4.889 c=6.129 alpha=103.42 beta=103.42 gamma=51.72
Positions (direct):
Tb: 0.000 0.000 0.000
In: 0.500 0.500 0.500
H: 0.081 0.560 0.180
H: 0.172 0.172 0.391
H: 0.414 0.414 0.892
H: 0.440 0.919 0.820
H: 0.560 0.081 0.180
H: 0.586 0.586 0.108
H: 0.828 0.828 0.609
H: 0.919 0.440 0.820
Ir: 0.250 0.250 0.676
Ir: 0.750 0.750 0.324

## Properties
uncorrected energy: -53.69 eV/f.u.
crystal system: monoclinic
magnetization: 0.00 μB/f.u.
symmetry: C2/m, No. 12

---

Entry 4:
Here is TbInH6Ir2 after structural relaxation from Alexandria via LeMat-Bulk. Energies are from PBE-GGA.

Unit cell a=6.794 b=6.794 c=5.480 alpha=100.74 beta=100.74 gamma=113.75
Positions (direct):
Tb: 0.128 0.872 0.750
Tb: 0.872 0.128 0.250
In: 0.310 0.690 0.250
In: 0.690 0.310 0.750
H: 0.071 0.459 0.631
H: 0.198 0.210 0.091
H: 0.210 0.198 0.591
H: 0.368 0.505 0.922
H: 0.459 0.071 0.131
H: 0.495 0.632 0.578
H: 0.505 0.368 0.422
H: 0.541 0.929 0.869
H: 0.632 0.495 0.078
H: 0.790 0.802 0.409
H: 0.802 0.790 0.909
H: 0.929 0.541 0.369
Ir: 0.104 0.317 0.842
Ir: 0.317 0.104 0.342
Ir: 0.683 0.896 0.658
Ir: 0.896 0.683 0.158

## Properties
uncorrected energy: -47.79 eV/f.u.
crystal system: monoclinic
magnetization: 0.00 μB/f.u.
symmetry: C2/c, No. 15

---

Entry 5:
Here is Ti2InHIr after structural relaxation from Alexandria via LeMat-Bulk. Energies are from PBE-GGA.

Unit cell a=4.140 b=4.140 c=4.012 alpha=90.00 beta=90.00 gamma=90.00
Positions (direct):
Ti: 0.000 0.500 0.000
Ti: 0.500 0.000 0.000
In: 0.000 0.000 0.500
H: 0.500 0.500 0.000
Ir: 0.500 0.500 0.500

## Properties
uncorrected energy: -32.63 eV/f.u.
crystal system: tetragonal
magnetization: 0.00 μB/f.u.
symmetry: P4/mmm, No. 123

---

Entry 6:
Here is InHIr2W after structural relaxation from Alexandria via LeMat-Bulk. Energies are from PBE-GGA.

Unit cell a=4.732 b=4.732 c=5.478 alpha=90.00 beta=90.00 gamma=90.00
Positions (direct):
In: 0.000 0.000 0.000
H: 0.500 0.500 0.000
Ir: 0.000 0.500 0.500
Ir: 0.500 0.000 0.500
W: 0.000 0.000 0.500

## Properties
uncorrected energy: -27.82 eV/f.u.
crystal system: tetragonal
magnetization: 0.99 μB/f.u.
symmetry: P4/mmm, No. 123

---

Entry 7:
Here is YInH8Ir2 after structural relaxation from Alexandria via LeMat-Bulk. Energies are from PBE-GGA.

Unit cell a=4.890 b=4.890 c=6.140 alpha=103.24 beta=103.24 gamma=51.45
Positions (direct):
Y: 0.000 0.000 0.000
In: 0.500 0.500 0.500
H: 0.082 0.560 0.180
H: 0.175 0.175 0.390
H: 0.413 0.413 0.892
H: 0.440 0.918 0.820
H: 0.560 0.082 0.180
H: 0.587 0.587 0.108
H: 0.825 0.825 0.610
H: 0.918 0.440 0.820
Ir: 0.250 0.250 0.676
Ir: 0.750 0.750 0.324

## Properties
uncorrected energy: -55.50 eV/f.u.
crystal system: monoclinic
magnetization: 0.00 μB/f.u.
symmetry: C2/m, No. 12

---

Entry 8:
Here is YInH6Ir2 after structural relaxation from Alexandria via LeMat-Bulk. Energies are from PBE-GGA.

Unit cell a=6.829 b=6.829 c=5.444 alpha=100.66 beta=100.66 gamma=114.19
Positions (direct):
Y: 0.126 0.874 0.750
Y: 0.874 0.126 0.250
In: 0.309 0.691 0.250
In: 0.691 0.309 0.750
H: 0.075 0.460 0.631
H: 0.198 0.212 0.093
H: 0.212 0.198 0.593
H: 0.369 0.503 0.925
H: 0.460 0.075 0.131
H: 0.497 0.631 0.575
H: 0.503 0.369 0.425
H: 0.540 0.925 0.869
H: 0.631 0.497 0.075
H: 0.788 0.802 0.407
H: 0.802 0.788 0.907
H: 0.925 0.540 0.369
Ir: 0.105 0.317 0.842
Ir: 0.317 0.105 0.342
Ir: 0.683 0.895 0.658
Ir: 0.895 0.683 0.158

## Properties
uncorrected energy: -49.61 eV/f.u.
crystal system: monoclinic
magnetization: 0.00 μB/f.u.
symmetry: C2/c, No. 15

---

What is the magnetization in the sixth record? 0.99 μB/f.u.